Record 1
Compound: Nd4ErSc2
Source: the Alexandria database
Functional: PBE
Structure: relaxed

Values from the calculation:
The formation energy is 1.755 eV per formula unit. The total magnetic moment comes out at 0.000 μB/atom. The raw total energy comes out at -4.935 eV per atom. The energy relative to the lowest polymorph listed for this composition is 93 meV/atom.

Lattice parameters (Å, degrees): 6.1254 11.8277 11.8277 134.91 74.99 74.99
Fractional coordinates of all 14 atoms:
1 Er 0.2500 0.0000 0.0000
2 Er 0.7500 0.0000 0.0000
3 Nd 0.1047 0.0290 0.7616
4 Nd 0.9009 0.6848 0.5134
5 Nd 0.3953 0.2384 0.9710
6 Nd 0.5991 0.4866 0.3152
7 Nd 0.0991 0.3152 0.4866
8 Nd 0.4009 0.5134 0.6848
9 Nd 0.6047 0.7616 0.0290
10 Nd 0.8953 0.9710 0.2384
11 Sc 0.6190 0.1389 0.6231
12 Sc 0.1190 0.6231 0.1389
13 Sc 0.8810 0.3769 0.8611
14 Sc 0.3810 0.8611 0.3769

Record 2
Compound: NdEr6Sc2
Source: the Alexandria database
Functional: PBE
Structure: relaxed

Values from the calculation:
The formation energy is 0.579 eV per formula unit. The total magnetic moment comes out at 0.000 μB/atom. The raw total energy comes out at -4.914 eV per atom. The energy relative to the lowest polymorph listed for this composition is 0 meV/atom.

Lattice parameters (Å, degrees): 3.5070 3.5070 25.4835 90.00 90.00 120.00
Fractional coordinates of all 9 atoms:
1 Er 0.3333 0.6667 0.1164
2 Er 0.3333 0.6667 0.8836
3 Er 0.0000 0.0000 0.7725
4 Er 0.0000 0.0000 0.5666
5 Er 0.0000 0.0000 0.2275
6 Er 0.0000 0.0000 0.4334
7 Sc 0.3333 0.6667 0.6687
8 Sc 0.3333 0.6667 0.3313
9 Nd 0.0000 0.0000 0.0000

Record 3
Compound: Nd2Er3Sc8
Source: the Alexandria database
Functional: PBE
Structure: relaxed

Values from the calculation:
The formation energy is 3.493 eV per formula unit. The total magnetic moment comes out at 0.000 μB/atom. The raw total energy comes out at -5.414 eV per atom.

Lattice parameters (Å, degrees): 6.2119 6.2119 11.8408 74.79 74.79 60.00
Fractional coordinates of all 13 atoms:
1 Nd 0.6391 0.6391 0.0828
2 Nd 0.3609 0.3609 0.9172
3 Sc 0.7292 0.7292 0.3169
4 Sc 0.7285 0.7285 0.8146
5 Sc 0.2708 0.2708 0.6831
6 Sc 0.2708 0.7753 0.6831
7 Sc 0.7292 0.2247 0.3169
8 Sc 0.2247 0.7292 0.3169
9 Sc 0.7753 0.2708 0.6831
10 Sc 0.2715 0.2715 0.1854
11 Er 0.1850 0.1850 0.4450
12 Er 0.8150 0.8150 0.5550
13 Er 0.0000 0.0000 0.0000

Record 4
Compound: Nd2Er4Sc
Source: the Alexandria database
Functional: PBE
Structure: relaxed

Values from the calculation:
The formation energy is 1.314 eV per formula unit. The total magnetic moment comes out at 0.000 μB/atom. The raw total energy comes out at -4.686 eV per atom. The energy relative to the lowest polymorph listed for this composition is 0 meV/atom.

Lattice parameters (Å, degrees): 8.7829 8.7852 8.7839 135.58 98.22 98.19
Fractional coordinates of all 14 atoms:
1 Er 0.3708 0.6914 0.3256
2 Er 0.4616 0.6922 0.7221
3 Er 0.8843 0.1536 0.2721
4 Er 0.3658 0.1375 0.7697
5 Er 0.9730 0.6963 0.2326
6 Er 0.2771 0.0094 0.2223
7 Er 0.8794 0.7045 0.8206
8 Er 0.7884 0.0103 0.7304
9 Nd 0.6251 0.3637 0.2387
10 Nd 0.1251 0.3705 0.7457
11 Nd 0.6526 0.2613 0.6078
12 Nd 0.5971 0.7048 0.1084
13 Sc 0.1471 0.2496 0.1020
14 Sc 0.1027 0.7048 0.6019

Record 5
Compound: NdEr2Sc4
Source: the Alexandria database
Functional: PBE
Structure: relaxed

Values from the calculation:
The formation energy is 0.331 eV per formula unit. The total magnetic moment comes out at 0.000 μB/atom. The raw total energy comes out at -5.556 eV per atom. The energy relative to the lowest polymorph listed for this composition is 0 meV/atom.

Lattice parameters (Å, degrees): 6.7181 8.3823 8.3080 121.31 90.17 101.60
Fractional coordinates of all 14 atoms:
1 Sc 0.5956 0.1396 0.5914
2 Sc 0.4146 0.4062 0.0286
3 Sc 0.9409 0.5488 0.7461
4 Sc 0.8641 0.2647 0.3288
5 Sc 0.7618 0.8200 0.1469
6 Sc 0.5590 0.0009 0.9228
7 Sc 0.3838 0.2712 0.3254
8 Sc 0.4521 0.5481 0.7477
9 Er 0.9002 0.4107 0.0321
10 Er 0.0914 0.1362 0.5851
11 Er 0.2721 0.8190 0.1517
12 Er 0.7263 0.6937 0.4799
13 Nd 0.2310 0.6840 0.4850
14 Nd 0.0573 0.0069 0.9285

Record 6
Compound: Nd5Er2Sc2
Source: the Alexandria database
Functional: PBE
Structure: relaxed

Values from the calculation:
The formation energy is 1.871 eV per formula unit. The total magnetic moment comes out at 0.000 μB/atom. The raw total energy comes out at -4.862 eV per atom. The energy relative to the lowest polymorph listed for this composition is 94 meV/atom.

Lattice parameters (Å, degrees): 8.5277 7.1087 11.1320 108.62 112.52 90.00
Fractional coordinates of all 18 atoms:
1 Sc 0.1751 0.5772 0.0772
2 Sc 0.8249 0.5000 0.9228
3 Sc 0.5979 0.0000 0.9228
4 Sc 0.4021 0.0772 0.0772
5 Er 0.0000 0.0087 0.0000
6 Er 0.5000 0.5087 0.0000
7 Er 0.1923 0.2894 0.5000
8 Er 0.8077 0.7894 0.5000
9 Nd 0.1644 0.6832 0.7842
10 Nd 0.2037 0.7924 0.5000
11 Nd 0.8356 0.8990 0.2158
12 Nd 0.4155 0.4544 0.3227
13 Nd 0.5928 0.6317 0.6773
14 Nd 0.7963 0.2924 0.5000
15 Nd 0.8802 0.3990 0.2158
16 Nd 0.1198 0.1832 0.7842
17 Nd 0.5845 0.1317 0.6773
18 Nd 0.4072 0.9544 0.3227

Record 7
Compound: Nd6Er2Sc3
Source: the Alexandria database
Functional: PBE
Structure: relaxed

Values from the calculation:
The formation energy is 0.957 eV per formula unit. The total magnetic moment comes out at 0.000 μB/atom. The raw total energy comes out at -5.070 eV per atom.

Lattice parameters (Å, degrees): 6.0141 8.6283 14.7727 41.86 82.80 112.99
Fractional coordinates of all 11 atoms:
1 Nd 0.2401 0.6380 0.0925
2 Nd 0.7599 0.3620 0.9075
3 Nd 0.6774 0.7750 0.5497
4 Nd 0.3226 0.2250 0.4503
5 Nd 0.9926 0.4231 0.6425
6 Nd 0.0074 0.5769 0.3575
7 Er 0.5020 0.2819 0.1802
8 Er 0.4980 0.7181 0.8198
9 Sc 0.0000 0.0000 0.0000
10 Sc 0.2515 0.0769 0.7398
11 Sc 0.7485 0.9231 0.2602

Record 8
Compound: NdEr7Sc3
Source: the Alexandria database
Functional: PBE
Structure: relaxed

Values from the calculation:
The formation energy is 2.495 eV per formula unit. The total magnetic moment comes out at 0.004 μB/atom. The raw total energy comes out at -4.837 eV per atom.

Lattice parameters (Å, degrees): 8.2270 6.9226 6.9226 120.00 90.00 90.00
Fractional coordinates of all 11 atoms:
1 Er 0.4587 0.3362 0.1681
2 Er 0.1069 0.1679 0.3357
3 Er 0.1069 0.1679 0.8321
4 Er 0.4587 0.8319 0.6638
5 Er 0.4587 0.8319 0.1681
6 Er 0.1150 0.6667 0.3333
7 Er 0.1069 0.6643 0.8321
8 Sc 0.7848 0.5014 0.4986
9 Sc 0.7848 0.9972 0.4986
10 Sc 0.7848 0.5014 0.0028
11 Nd 0.4491 0.3333 0.6667

Record 9
Compound: Nd4Er8Sc
Source: the Alexandria database
Functional: PBE
Structure: relaxed

Values from the calculation:
The formation energy is 6.969 eV per formula unit. The total magnetic moment comes out at 0.099 μB/atom. The raw total energy comes out at -4.226 eV per atom.

Lattice parameters (Å, degrees): 10.9187 10.9187 7.7233 90.00 134.98 120.00
Fractional coordinates of all 13 atoms:
1 Nd 0.5000 0.5000 0.0000
2 Nd 0.5000 0.0000 0.0000
3 Nd 0.0000 0.0000 0.0000
4 Nd 0.0000 0.5000 0.0000
5 Er 0.9995 0.2424 0.7566
6 Er 0.0005 0.7576 0.2434
7 Er 0.4858 0.2429 0.2434
8 Er 0.5142 0.7571 0.7566
9 Er 0.0005 0.2429 0.2434
10 Er 0.5149 0.7574 0.2723
11 Er 0.4851 0.2426 0.7277
12 Er 0.9995 0.7571 0.7566
13 Sc 0.0000 0.5000 0.5000

Record 10
Compound: Nd2Er5Sc4
Source: the Alexandria database
Functional: PBE
Structure: relaxed

Values from the calculation:
The formation energy is 1.687 eV per formula unit. The total magnetic moment comes out at 0.000 μB/atom. The raw total energy comes out at -5.090 eV per atom.

Lattice parameters (Å, degrees): 3.3810 8.6901 12.1682 110.92 97.99 90.00
Fractional coordinates of all 11 atoms:
1 Sc 0.0000 0.6780 0.0000
2 Sc 0.0000 0.3220 0.0000
3 Sc 0.5944 0.5944 0.1887
4 Sc 0.4056 0.4056 0.8113
5 Er 0.5000 0.0000 0.0000
6 Er 0.8626 0.6653 0.7252
7 Er 0.1374 0.3347 0.2748
8 Er 0.1374 0.9401 0.2748
9 Er 0.8626 0.0599 0.7252
10 Nd 0.7320 0.7320 0.4640
11 Nd 0.2680 0.2680 0.5360

Record 11
Compound: Nd4Er15Sc
Source: the Alexandria database
Functional: PBE
Structure: relaxed

Values from the calculation:
The formation energy is 0.570 eV per formula unit. The total magnetic moment comes out at 0.000 μB/atom. The raw total energy comes out at -4.664 eV per atom.

Lattice parameters (Å, degrees): 5.0012 5.0012 24.8753 90.00 90.00 90.00
Fractional coordinates of all 20 atoms:
1 Er 0.0000 0.5000 0.7024
2 Er 0.5000 0.0000 0.9047
3 Er 0.5000 0.5000 0.0000
4 Er 0.0000 0.5000 0.5000
5 Er 0.0000 0.5000 0.9047
6 Er 0.5000 0.0000 0.2976
7 Er 0.5000 0.5000 0.3990
8 Er 0.5000 0.0000 0.7024
9 Er 0.5000 0.5000 0.8035
10 Er 0.5000 0.5000 0.1965
11 Er 0.0000 0.5000 0.0953
12 Er 0.0000 0.5000 0.2976
13 Er 0.5000 0.0000 0.5000
14 Er 0.5000 0.0000 0.0953
15 Er 0.5000 0.5000 0.6010
16 Nd 0.0000 0.0000 0.8024
17 Nd 0.0000 0.0000 0.1976
18 Nd 0.0000 0.0000 0.3987
19 Nd 0.0000 0.0000 0.6013
20 Sc 0.0000 0.0000 0.0000

Record 12
Compound: Nd3Er6Sc
Source: the Alexandria database
Functional: PBE
Structure: relaxed

Values from the calculation:
The formation energy is 1.492 eV per formula unit. The total magnetic moment comes out at 0.000 μB/atom. The raw total energy comes out at -4.652 eV per atom. The energy relative to the lowest polymorph listed for this composition is 116 meV/atom.

Lattice parameters (Å, degrees): 6.2172 10.8692 10.8692 119.72 90.00 90.00
Fractional coordinates of all 20 atoms:
1 Nd 0.4574 0.9443 0.7190
2 Nd 0.9574 0.0557 0.2810
3 Nd 0.0666 0.3880 0.6120
4 Nd 0.5666 0.6120 0.3880
5 Nd 0.9574 0.7190 0.9443
6 Nd 0.4574 0.2810 0.0557
7 Er 0.5441 0.2885 0.3817
8 Er 0.8707 0.9598 0.5392
9 Er 0.9097 0.0470 0.9530
10 Er 0.0441 0.3817 0.2885
11 Er 0.0441 0.7115 0.6183
12 Er 0.3707 0.5392 0.9598
13 Er 0.3707 0.0402 0.4608
14 Er 0.1329 0.7221 0.2779
15 Er 0.4097 0.9530 0.0470
16 Er 0.5441 0.6183 0.7115
17 Er 0.8707 0.4608 0.0402
18 Er 0.6329 0.2779 0.7221
19 Sc 0.1318 0.2043 0.7957
20 Sc 0.6318 0.7957 0.2043